1.
VASP calculation (PBE) on a relaxed Tb9Sb5O5 crystal.

Unit cell a=9.922 b=9.922 c=8.931 alpha=90.00 beta=90.00 gamma=90.00
Sites, in units of the cell vectors:
Tb: 0.024 0.168 0.002
Tb: 0.045 0.646 0.658
Tb: 0.146 0.955 0.342
Tb: 0.168 0.476 0.002
Tb: 0.250 0.250 0.672
Tb: 0.332 0.024 0.002
Tb: 0.354 0.545 0.342
Tb: 0.455 0.854 0.658
Tb: 0.476 0.332 0.002
Tb: 0.524 0.668 0.998
Tb: 0.545 0.146 0.342
Tb: 0.646 0.455 0.658
Tb: 0.668 0.976 0.998
Tb: 0.750 0.750 0.328
Tb: 0.832 0.524 0.998
Tb: 0.854 0.045 0.658
Tb: 0.955 0.354 0.342
Tb: 0.976 0.832 0.998
Sb: 0.054 0.654 0.302
Sb: 0.154 0.946 0.698
Sb: 0.250 0.250 0.318
Sb: 0.346 0.554 0.698
Sb: 0.446 0.846 0.302
Sb: 0.554 0.154 0.698
Sb: 0.654 0.446 0.302
Sb: 0.750 0.750 0.682
Sb: 0.846 0.054 0.302
Sb: 0.946 0.346 0.698
O: 0.025 0.630 0.913
O: 0.130 0.975 0.087
O: 0.250 0.250 0.936
O: 0.370 0.525 0.087
O: 0.475 0.870 0.913
O: 0.525 0.130 0.087
O: 0.630 0.475 0.913
O: 0.750 0.750 0.064
O: 0.870 0.025 0.913
O: 0.975 0.370 0.087

The value obtained for the formation energy from raw total energies is -2.19 eV per atom. Its uncorrected energy is -6.775 eV/atom. The total magnetization comes out at 0.00 μB/f.u. The density of states at the Fermi level comes out at 8.82 states/eV/cell. The calculation puts the calculated volume at 879.2 Å³ per cell. The theoretical density comes out at 8005 kg/m3.



2.
VASP calculation (PBE) on a relaxed LaGa3I crystal.

Unit cell a=5.555 b=5.555 c=5.555 alpha=90.00 beta=90.00 gamma=90.00
Sites, in units of the cell vectors:
La: 0.000 0.000 0.000
Ga: 0.000 0.500 0.500
Ga: 0.500 0.000 0.500
Ga: 0.500 0.500 0.000
I: 0.500 0.500 0.500

The value obtained for the formation energy from raw total energies is 0.44 eV per atom. Its uncorrected energy is -2.667 eV/atom. The total magnetization comes out at 0.00 μB/f.u. The density of states at the Fermi level comes out at 3.69 states/eV/cell. For the energy above the most stable polymorph in this dataset, the calculation gives 0 meV/atom. The calculation puts the calculated volume at 171.4 Å³ per cell. The theoretical density comes out at 4601 kg/m3.



3.
VASP calculation (PBE) on a relaxed Th4PdRh3 crystal.

Unit cell a=11.976 b=8.556 c=3.910 alpha=90.00 beta=108.19 gamma=90.00
Sites, in units of the cell vectors:
Th: 0.000 0.000 0.000
Th: 0.001 0.500 0.002
Th: 0.228 0.241 0.720
Th: 0.228 0.759 0.720
Th: 0.500 0.500 0.000
Th: 0.501 0.000 0.002
Th: 0.728 0.259 0.720
Th: 0.728 0.741 0.720
Pd: 0.273 0.500 0.265
Pd: 0.773 0.000 0.265
Rh: 0.267 0.000 0.258
Rh: 0.466 0.249 0.469
Rh: 0.466 0.751 0.469
Rh: 0.767 0.500 0.258
Rh: 0.966 0.251 0.469
Rh: 0.966 0.749 0.469

The formation energy is -0.910 eV per atom. Its uncorrected energy is -8.026 eV/atom. The total magnetization comes out at 0.00 μB/f.u. The density of states at the Fermi level comes out at 10.79 states/eV/cell. The calculation puts the calculated volume at 380.6 Å³ per cell. The theoretical density comes out at 11720 kg/m3.



4.
VASP calculation (PBE) on a relaxed LaHCl crystal.

Unit cell a=6.480 b=6.480 c=6.480 alpha=90.00 beta=90.00 gamma=90.00
Sites, in units of the cell vectors:
La: 0.000 0.000 0.000
La: 0.000 0.500 0.500
La: 0.500 0.000 0.500
La: 0.500 0.500 0.000
H: 0.250 0.250 0.250
H: 0.250 0.750 0.750
H: 0.750 0.250 0.750
H: 0.750 0.750 0.250
Cl: 0.250 0.250 0.750
Cl: 0.250 0.750 0.250
Cl: 0.750 0.250 0.250
Cl: 0.750 0.750 0.750

Its uncorrected energy is -4.465 eV/atom. The total magnetization comes out at 0.35 μB/f.u. The density of states at the Fermi level comes out at 12.30 states/eV/cell. The calculation puts the calculated volume at 272.0 Å³ per cell. The theoretical density comes out at 4282 kg/m3.



- The lowest uncorrected energy belongs to which entry?
  Th4PdRh3



- Among the records above, which one has the lowest calculated volume?
  LaGa3I



- Which value of theoretical density does entry 3 give?
  11720 kg/m3